CdPt2Au | PBE-GGA | relaxed

For the calculated total energy, the calculation gives -4.15 eV/atom. The density comes out at 16.79 g cm⁻³. The calculation puts the energy of formation from the pure elements at -0.085 eV/atom.

The structure belongs to space group F-43m (No. 216); the cell edges are 6.517, 6.517 and 6.517 Å and the angles 90.00°, 90.00° and 90.00°. The asymmetric unit holds Cd at (0.000, 0.000, 0.000), Pt at (0.000, 0.000, 0.500), Pt at (0.250, 0.250, 0.750) and Au at (0.250, 0.250, 0.250).